VASP calculation (PBE) on CaSbTe2 after structural relaxation.

Computed properties:
The total DFT energy (no corrections) is -3.36 eV per atom. Its crystal system is trigonal. The uncorrected formation energy is -0.256 eV per atom.

The structure in CIF format:
```
data_CaSbTe2
_cell_length_a 4.4345
_cell_length_b 4.4345
_cell_length_c 28.6174
_cell_angle_alpha 90.00
_cell_angle_beta 90.00
_cell_angle_gamma 120.00
_space_group_name_H-M_alt 'R -3 m'
_space_group_IT_number 166
_space_group_name_Hall '-R 3 2"'
loop_
_atom_site_label
_atom_site_fract_x
_atom_site_fract_y
_atom_site_fract_z
_atom_site_occupancy
Ca1 0.0000 0.0000 0.0000 1
Sb1 0.0000 0.0000 0.5000 1
Te1 0.0000 0.0000 0.1066 1
```